Record 1
# RbNaPd PBE optimized geometry
data_RbNaPd
_space_group_name_H-M_alt 'P 3 m 1'
_space_group_IT_number 156
_cell_length_a 4.9252
_cell_length_b 4.9252
_cell_length_c 5.0630
_cell_angle_alpha 90.00
_cell_angle_beta 90.00
_cell_angle_gamma 120.00
loop_
_space_group_symop_operation_xyz
'x,y,z'
'-y,x-y,z'
'-x+y,-x,z'
'-y,-x,z'
'-x+y,y,z'
'x,x-y,z'
loop_
_atom_site_label
_atom_site_type_symbol
_atom_site_fract_x
_atom_site_fract_y
_atom_site_fract_z
Rb1 Rb 0.0000 0.0000 0.0000
Na1 Na 0.6667 0.3333 0.5012
Pd1 Pd 0.3333 0.6667 0.4969
# Spin magnetization (μB/f.u.): 0.00
# ΔH_f (0 K) (eV per formula unit): 0.4
# DFT total energy (eV/atom): -2.367

---

Record 2
# Rb3NaPd PBE optimized geometry
data_Rb3NaPd
_space_group_name_H-M_alt 'P m -3 m'
_space_group_IT_number 221
_space_group_name_Hall '-P 4 2 3'
_cell_length_a 6.657
_cell_length_b 6.657
_cell_length_c 6.657
_cell_angle_alpha 90.00
_cell_angle_beta 90.00
_cell_angle_gamma 90.00
loop_
_atom_site_label
_atom_site_type_symbol
_atom_site_fract_x
_atom_site_fract_y
_atom_site_fract_z
Rb1 Rb 0.000 0.000 0.500
Na1 Na 0.500 0.500 0.500
Pd1 Pd 0.000 0.000 0.000
# Spin magnetization (μB/f.u.): 0.00
# ΔH_f (0 K) (eV per formula unit): 0.5
# DFT total energy (eV/atom): -1.785

---

Record 3
# RbNa2Pd2 PBE optimized geometry
data_RbNa2Pd2
_space_group_name_H-M_alt 'P 4/m b m'
_space_group_IT_number 127
_space_group_name_Hall '-P 4 2ab'
_cell_length_a 8.681
_cell_length_b 8.681
_cell_length_c 3.248
_cell_angle_alpha 90.00
_cell_angle_beta 90.00
_cell_angle_gamma 90.00
loop_
_atom_site_label
_atom_site_type_symbol
_atom_site_fract_x
_atom_site_fract_y
_atom_site_fract_z
Rb1 Rb 0.000 0.000 0.000
Na1 Na 0.164 0.336 0.500
Pd1 Pd 0.118 0.618 0.000
# Spin magnetization (μB/f.u.): 0.00
# ΔH_f (0 K) (eV per formula unit): 0.4
# DFT total energy (eV/atom): -2.726

---

Record 4
# Rb4Na2Pd PBE optimized geometry
data_Rb4Na2Pd
_space_group_name_H-M_alt 'I 4/m m m'
_space_group_IT_number 139
_space_group_name_Hall '-I 4 2'
_cell_length_a 6.583
_cell_length_b 6.583
_cell_length_c 20.806
_cell_angle_alpha 90.00
_cell_angle_beta 90.00
_cell_angle_gamma 90.00
loop_
_atom_site_label
_atom_site_type_symbol
_atom_site_fract_x
_atom_site_fract_y
_atom_site_fract_z
Rb1 Rb 0.000 0.000 0.161
Rb2 Rb 0.000 0.500 0.000
Na1 Na 0.000 0.000 0.359
Pd1 Pd 0.000 0.000 0.000
# Spin magnetization (μB/f.u.): 0.00
# ΔH_f (0 K) (eV per formula unit): 0.8
# DFT total energy (eV/atom): -1.559